1.
SrTe2Rh: relaxed, PBE.

abc: 3.621 3.621 7.800
angles: 90.00 90.00 90.00
Sites, in units of the cell vectors:
Te 0.000 0.000 0.454
Rh 0.500 0.500 0.250
Te 0.000 0.000 0.046
Sr 0.500 0.500 0.750

Values from the calculation:
Excess energy over the best structure of this formula in the dataset, meV per atom: 456
Space-group type: P4/mmm, No. 123

=====

2.
Y2PBr: relaxed, PBE.

abc: 6.461 6.461 4.022
angles: 90.02 90.02 35.64
Sites, in units of the cell vectors:
Br 0.490 0.490 0.625
Y 0.028 0.028 0.125
Y 0.729 0.729 0.625
P 0.253 0.253 0.125

Values from the calculation:
Space-group type: Amm2, No. 38
VASP energy, Ry per atom: -0.450

=====

3.
La3NbBr: relaxed, PBE.

abc: 5.684 5.684 5.684
angles: 90.00 90.00 90.00
Sites, in units of the cell vectors:
Br 0.500 0.500 0.500
La 0.500 0.000 0.000
Nb 0.000 0.000 0.000
La 0.000 0.500 0.000
La 0.000 0.000 0.500

Values from the calculation:
Excess energy over the best structure of this formula in the dataset, meV per atom: 0
Space-group type: Pm-3m, No. 221